Run w
Sm2TmMn GGA-PBE relaxed; total magnetic moment = 3.925 Bohr magnetons per cell; calculated density = 7.8 g/cm³
1.0
3.5857 0.0000 0.0000
0.0000 3.5857 0.0000
0.0000 0.0000 8.6925
Tm Sm Mn
1 2 1
Direct
0.5000 0.5000 0.5000 Tm
0.0000 0.0000 0.7899 Sm
0.0000 0.0000 0.2101 Sm
0.5000 0.5000 0.0000 Mn

---

Run x
Sm2TmMn GGA-PBE relaxed; total magnetic moment = 3.285 Bohr magnetons per cell; calculated density = 7.5 g/cm³
1.0
-0.8963 -1.0291 3.1231
2.2781 0.0632 2.5343
-2.7517 10.4251 4.5053
Sm Mn Tm
2 1 1
Direct
0.9176 0.9176 0.2471 Sm
0.0824 0.0824 0.7529 Sm
0.0000 0.0000 0.0000 Mn
0.5000 0.5000 0.5000 Tm

---

Quick look at relative energies in meV per atom: run w 0; run x 362.

---

Run w
SmTm2Mn GGA-PBE relaxed; total magnetic moment = 3.057 Bohr magnetons per cell; calculated density = 8.1 g/cm³
1.0
-0.2099 -3.3712 0.1397
2.7648 -1.8411 0.6279
-1.2625 -1.1485 11.2915
Mn Tm Sm
1 2 1
Direct
0.0000 0.0000 0.0000 Mn
0.0810 0.0810 0.7571 Tm
0.9190 0.9190 0.2429 Tm
0.5000 0.5000 0.5000 Sm

---

Run x
SmTm2Mn GGA-PBE relaxed; total magnetic moment = 2.930 Bohr magnetons per cell; calculated density = 8.5 g/cm³
1.0
3.4461 0.0000 0.0000
0.0000 3.4461 0.0000
0.0000 0.0000 8.8972
Sm Tm Mn
1 2 1
Direct
0.5000 0.5000 0.5000 Sm
0.0000 0.0000 0.8069 Tm
0.0000 0.0000 0.1931 Tm
0.5000 0.5000 0.0000 Mn

---

Quick look at relative energies in meV per atom: run w 413; run x 0.

---

Run w
Mn2SnTe4 GGA-PBE relaxed; total magnetic moment = 16.064 Bohr magnetons per cell; calculated density = 6.0 g/cm³
1.0
3.0571 -6.6969 -2.3026
3.4790 -0.7642 6.8417
-8.7809 0.3789 0.1593
Mn Te Sn
4 8 2
Direct
0.3750 0.6250 0.7500 Mn
0.8750 0.6250 0.2500 Mn
0.3750 0.6250 0.2500 Mn
0.3750 0.1250 0.7500 Mn
0.6861 0.8489 0.1092 Te
0.0639 0.4011 0.3908 Te
0.4231 0.2603 0.1092 Te
0.0103 0.9361 0.6092 Te
0.5989 0.6731 0.6092 Te
0.1511 0.5769 0.8908 Te
0.3269 0.9897 0.3908 Te
0.7397 0.3139 0.8908 Te
0.0000 0.0000 0.0000 Sn
0.7500 0.2500 0.5000 Sn

---

Run x
Mn2SnTe4 GGA-PBE relaxed; total magnetic moment = 32.138 Bohr magnetons per cell; calculated density = 6.1 g/cm³
1.0
-5.2315 -1.5348 -4.9605
5.6095 -3.7136 -4.7670
-2.4293 -11.5426 6.1333
Te Mn Sn
16 8 4
Direct
0.8262 0.4737 0.8176 Te
0.1738 0.5263 0.1824 Te
0.6738 0.0263 0.3176 Te
0.3279 0.7500 0.4175 Te
0.3262 0.5263 0.6824 Te
0.2301 0.2500 0.4297 Te
0.6738 0.4737 0.3176 Te
0.6721 0.2500 0.5825 Te
0.1738 0.9737 0.1824 Te
0.7301 0.7500 0.0703 Te
0.3262 0.9737 0.6824 Te
0.8279 0.2500 0.0825 Te
0.7699 0.7500 0.5703 Te
0.8262 0.0263 0.8176 Te
0.2699 0.2500 0.9297 Te
0.1721 0.7500 0.9175 Te
0.5000 0.0000 0.5000 Mn
0.0000 0.5000 0.0000 Mn
0.0239 0.7500 0.7273 Mn
0.9761 0.2500 0.2727 Mn
0.0000 0.0000 0.0000 Mn
0.5000 0.5000 0.5000 Mn
0.4761 0.7500 0.2273 Mn
0.5239 0.2500 0.7727 Mn
0.0795 0.2500 0.6373 Sn
0.4205 0.2500 0.1373 Sn
0.9205 0.7500 0.3627 Sn
0.5795 0.7500 0.8627 Sn

---

Quick look at relative energies in meV per atom: run w 70; run x 0.

---

Run w
TiMnSn4 GGA-PBE relaxed; total magnetic moment = 7.805 Bohr magnetons per cell; calculated density = 7.4 g/cm³
1.0
5.6283 0.0000 0.0000
-2.8141 4.8742 0.0000
0.0000 0.0000 14.1187
Ti Sn Mn
3 12 3
Direct
0.0000 0.5000 0.1667 Ti
0.5000 0.5000 0.8333 Ti
0.5000 0.0000 0.5000 Ti
0.1675 0.3350 0.0000 Sn
0.6650 0.8325 0.6667 Sn
0.8325 0.6650 0.0000 Sn
0.0000 0.5000 0.7829 Sn
0.8325 0.1675 0.3333 Sn
0.1675 0.8325 0.3333 Sn
0.3350 0.1675 0.6667 Sn
0.0000 0.5000 0.5504 Sn
0.5000 0.5000 0.4496 Sn
0.5000 0.0000 0.8837 Sn
0.5000 0.0000 0.1163 Sn
0.5000 0.5000 0.2171 Sn
0.0000 0.0000 0.1667 Mn
0.0000 0.0000 0.8333 Mn
0.0000 0.0000 0.5000 Mn

---

Run x
TiMnSn4 GGA-PBE relaxed; total magnetic moment = 3.220 Bohr magnetons per cell; calculated density = 7.5 g/cm³
1.0
-5.3202 -3.6960 1.5819
-1.1536 -1.1102 -6.4734
6.5437 -2.2663 2.6573
Sn Mn Ti
8 2 2
Direct
0.5257 0.0257 0.7289 Sn
0.7032 0.5257 0.7289 Sn
0.2032 0.7032 0.7289 Sn
0.0257 0.2032 0.7289 Sn
0.4743 0.9743 0.2711 Sn
0.9743 0.7968 0.2711 Sn
0.2968 0.4743 0.2711 Sn
0.7968 0.2968 0.2711 Sn
0.2500 0.2500 0.5000 Mn
0.7500 0.7500 0.5000 Mn
0.5000 0.5000 0.0000 Ti
0.0000 0.0000 0.0000 Ti

---

Quick look at relative energies in meV per atom: run w 0; run x 76.

---

Run w
Ti3MnSn GGA-PBE relaxed; total magnetic moment = 0.000 Bohr magnetons per cell; calculated density = 6.1 g/cm³
1.0
-1.4627 -3.2866 1.8774
5.2902 -0.0290 -0.3142
-0.1790 4.3998 7.5630
Ti Sn Mn
6 2 2
Direct
0.3981 0.7963 0.1147 Ti
0.1095 0.2190 0.1461 Ti
0.8905 0.7810 0.8539 Ti
0.8768 0.7537 0.3757 Ti
0.6019 0.2037 0.8853 Ti
0.1232 0.2463 0.6243 Ti
0.4043 0.8085 0.6234 Sn
0.5957 0.1915 0.3766 Sn
0.2442 0.4884 0.8799 Mn
0.7558 0.5115 0.1201 Mn

---

Run x
Ti3MnSn GGA-PBE relaxed; total magnetic moment = 2.937 Bohr magnetons per cell; calculated density = 3.8 g/cm³
1.0
-2.2877 -2.4780 3.9116
4.1609 0.8143 2.9494
-2.0318 4.4577 1.6356
Sn Ti Mn
1 3 1
Direct
0.0000 0.0000 0.0000 Sn
0.5000 0.0000 0.0000 Ti
0.0000 0.0000 0.5000 Ti
0.0000 0.5000 0.0000 Ti
0.5000 0.5000 0.5000 Mn

---

Quick look at relative energies in meV per atom: run w 0; run x 1924.

---

Run w
MnTl2Sn GGA-PBE relaxed; total magnetic moment = 7.924 Bohr magnetons per cell; calculated density = 9.2 g/cm³
1.0
-3.2330 0.1001 -2.9202
-2.7016 -1.7615 2.9306
-5.7974 9.3006 3.4858
Tl Mn Sn
4 2 2
Direct
0.1337 0.6250 0.2500 Tl
0.8750 0.8663 0.7500 Tl
0.6163 0.1250 0.2500 Tl
0.3750 0.3837 0.7500 Tl
0.5000 0.5000 0.0000 Mn
0.2500 0.7500 0.5000 Mn
0.0000 0.0000 0.0000 Sn
0.7500 0.2500 0.5000 Sn

---

Run x
MnTl2Sn GGA-PBE relaxed; total magnetic moment = 4.596 Bohr magnetons per cell; calculated density = 9.3 g/cm³
1.0
0.0000 3.7314 3.7314
3.7314 0.0000 3.7314
3.7314 3.7314 0.0000
Tl Mn Sn
2 1 1
Direct
0.2500 0.2500 0.2500 Tl
0.7500 0.7500 0.7500 Tl
0.0000 0.0000 0.0000 Mn
0.5000 0.5000 0.5000 Sn

---

Quick look at relative energies in meV per atom: run w 0; run x 35.